VASP calculation (PBE) on a relaxed ErPuCdIn crystal.

- symmetry = F-43m, No. 216
- DFT formation energy (eV per atom) = -0.19
- E (eV/atom) = -5.832
- total magnetization (Bohr magnetons per cell) = 6.26

Cell: 5.3195 5.3195 5.3195 Å, 60.00 60.00 60.00°
Last column: nearest neighbours and their distance in Å.
Sites, in units of the cell vectors:
1 Er 0.0000 0.0000 0.0000  4 In 3.26, 4 Cd 3.26
2 Pu 0.5000 0.5000 0.5000  4 Cd 3.26, 4 In 3.26
3 Cd 0.2500 0.2500 0.2500  4 Er 3.26, 4 Pu 3.26
4 In 0.7500 0.7500 0.7500  4 Er 3.26, 4 Pu 3.26